# BaAsAu

Crystalline BaAsAu at its relaxed geometry (PBE-GGA, the Alexandria database). Values from VASP.

Values from the calculation:
The space-group type is Immm (71). Its formation energy is -0.853 eV per atom.

```
&SYSTEM
  ibrav = 0, nat = 6, ntyp = 3
/
ATOMIC_SPECIES
Ba 137.33 Ba.upf
As 74.92 As.upf
Au 196.97 Au.upf
ATOMIC_POSITIONS crystal
Ba 0.2455 0.2455 0.0000
Ba 0.7545 0.7545 0.0000
As 0.3393 0.0000 0.3393
As 0.6607 0.0000 0.6607
Au 0.1718 0.5000 0.6718
Au 0.8282 0.5000 0.3282
CELL_PARAMETERS angstrom
-2.3017 4.0507 4.6022
2.3017 -4.0507 4.6022
2.3017 4.0507 -4.6022
```

***

# Fe2Te

Crystalline Fe2Te at its relaxed geometry (PBE-GGA, the Alexandria database). Values from VASP.

Values from the calculation:
For the energy relative to the elements, uncorrected, the calculation gives 1.5 eV/f.u. The space-group type is P-3m1 (164).

```
&SYSTEM
  ibrav = 0, nat = 3, ntyp = 2
/
ATOMIC_SPECIES
Fe 55.84 Fe.upf
Te 127.60 Te.upf
ATOMIC_POSITIONS crystal
Fe 0.3333 0.6667 0.3926
Fe 0.6667 0.3333 0.6074
Te 0.0000 0.0000 0.0000
CELL_PARAMETERS angstrom
4.0877 0.0000 0.0000
-2.0439 3.5401 0.0000
0.0000 0.0000 3.3599
```

***

# Nd3HoMg3

Crystalline Nd3HoMg3 at its relaxed geometry (PBE-GGA, the Alexandria database). Values from VASP.

Values from the calculation:
The space-group type is Cmmm (65). Its formation energy is 0.067 eV per atom.

```
&SYSTEM
  ibrav = 0, nat = 14, ntyp = 3
/
ATOMIC_SPECIES
Nd 144.24 Nd.upf
Ho 164.93 Ho.upf
Mg 24.30 Mg.upf
ATOMIC_POSITIONS crystal
Nd 0.0000 0.0000 0.2469
Nd 0.0000 0.0000 0.7531
Nd 0.0000 0.5000 0.2535
Nd 0.0000 0.5000 0.7465
Nd 0.5000 0.0000 0.2535
Nd 0.5000 0.0000 0.7465
Ho 0.3117 0.3117 0.0000
Ho 0.6883 0.6883 0.0000
Mg 0.2569 0.7431 0.0000
Mg 0.2830 0.2830 0.5000
Mg 0.3147 0.6853 0.5000
Mg 0.6853 0.3147 0.5000
Mg 0.7170 0.7170 0.5000
Mg 0.7431 0.2569 0.0000
CELL_PARAMETERS angstrom
5.4022 -5.6734 0.0000
5.4022 5.6734 0.0000
0.0000 0.0000 7.1317
```

***

# BTe3Ir

Crystalline BTe3Ir at its relaxed geometry (PBE-GGA, the Alexandria database). Values from VASP.

Values from the calculation:
For the energy relative to the elements, uncorrected, the calculation gives 6.9 eV/f.u. The space-group type is Pm-3m (221).

```
&SYSTEM
  ibrav = 0, nat = 5, ntyp = 3
/
ATOMIC_SPECIES
B 10.81 B.upf
Te 127.60 Te.upf
Ir 192.22 Ir.upf
ATOMIC_POSITIONS crystal
B 0.0000 0.0000 0.0000
Te 0.0000 0.5000 0.5000
Te 0.5000 0.0000 0.5000
Te 0.5000 0.5000 0.0000
Ir 0.5000 0.5000 0.5000
CELL_PARAMETERS angstrom
5.2649 0.0000 0.0000
0.0000 5.2649 0.0000
0.0000 0.0000 5.2649
```

***

# Sm6Si2GeSe3

Crystalline Sm6Si2GeSe3 at its relaxed geometry (PBE-GGA, the Alexandria database). Values from VASP.

Values from the calculation:
For the energy relative to the elements, uncorrected, the calculation gives -16.1 eV/f.u. The space-group type is C2/m (12).

```
&SYSTEM
  ibrav = 0, nat = 12, ntyp = 4
/
ATOMIC_SPECIES
Sm 150.36 Sm.upf
Si 28.09 Si.upf
Ge 72.64 Ge.upf
Se 78.96 Se.upf
ATOMIC_POSITIONS crystal
Sm 0.0026 0.0026 0.2451
Sm 0.3308 0.3308 0.4235
Sm 0.3350 0.3350 0.9094
Sm 0.6650 0.6650 0.0906
Sm 0.6692 0.6692 0.5765
Sm 0.9974 0.9974 0.7549
Si 0.1667 0.1667 0.3333
Si 0.8333 0.8333 0.6667
Ge 0.5000 0.5000 0.0000
Se 0.1665 0.1665 0.8331
Se 0.5000 0.5000 0.5000
Se 0.8335 0.8335 0.1669
CELL_PARAMETERS angstrom
9.2176 -2.1048 0.0000
9.2176 2.1048 0.0000
-2.0663 0.0000 8.2090
```

***

# SiBMo4

Crystalline SiBMo4 at its relaxed geometry (PBE-GGA, the Alexandria database). Values from VASP.

Values from the calculation:
For the energy relative to the elements, uncorrected, the calculation gives -1.9 eV/f.u. The space-group type is P4/mcc (124).

```
&SYSTEM
  ibrav = 0, nat = 12, ntyp = 3
/
ATOMIC_SPECIES
Si 28.09 Si.upf
B 10.81 B.upf
Mo 95.94 Mo.upf
ATOMIC_POSITIONS crystal
Si 0.0000 0.0000 0.2500
Si 0.0000 0.0000 0.7500
B 0.5000 0.5000 0.2500
B 0.5000 0.5000 0.7500
Mo 0.1781 0.3482 0.0000
Mo 0.1781 0.6518 0.5000
Mo 0.3482 0.1781 0.5000
Mo 0.3482 0.8219 0.0000
Mo 0.6518 0.1781 0.0000
Mo 0.6518 0.8219 0.5000
Mo 0.8219 0.3482 0.5000
Mo 0.8219 0.6518 0.0000
CELL_PARAMETERS angstrom
5.7639 0.0000 0.0000
0.0000 5.7639 0.0000
0.0000 0.0000 4.8694
```

***

# CdHg5Pb2

Crystalline CdHg5Pb2 at its relaxed geometry (PBE-GGA, the Alexandria database). Values from VASP.

Values from the calculation:
The space-group type is I4/mmm (139). Its formation energy is 0.046 eV per atom.

```
&SYSTEM
  ibrav = 0, nat = 8, ntyp = 3
/
ATOMIC_SPECIES
Cd 112.41 Cd.upf
Hg 200.59 Hg.upf
Pb 207.20 Pb.upf
ATOMIC_POSITIONS crystal
Cd 0.0000 0.0000 0.0000
Hg 0.1170 0.6170 0.5000
Hg 0.3830 0.8830 0.5000
Hg 0.5000 0.5000 0.0000
Hg 0.6170 0.1170 0.5000
Hg 0.8830 0.3830 0.5000
Pb 0.2483 0.2483 0.0000
Pb 0.7517 0.7517 0.0000
CELL_PARAMETERS angstrom
-2.4256 2.4256 9.0437
2.4256 -2.4256 9.0437
2.4256 2.4256 -9.0437
```

***

# La6DyTm2Sc

Crystalline La6DyTm2Sc at its relaxed geometry (PBE-GGA, the Alexandria database). Values from VASP.

Values from the calculation:
The space-group type is C2/m (12). Its formation energy is 0.189 eV per atom.

```
&SYSTEM
  ibrav = 0, nat = 10, ntyp = 4
/
ATOMIC_SPECIES
La 138.91 La.upf
Dy 162.50 Dy.upf
Tm 168.93 Tm.upf
Sc 44.96 Sc.upf
ATOMIC_POSITIONS crystal
La 0.1036 0.5479 0.2037
La 0.1375 0.1375 0.4333
La 0.4521 0.8964 0.7963
La 0.5479 0.1036 0.2037
La 0.8625 0.8625 0.5667
La 0.8964 0.4521 0.7963
Dy 0.0000 0.0000 0.0000
Tm 0.4098 0.4098 0.8237
Tm 0.5902 0.5902 0.1763
Sc 0.5000 0.5000 0.5000
CELL_PARAMETERS angstrom
5.7010 -3.5686 0.0000
5.7010 3.5686 0.0000
-2.4481 0.0000 8.4600
```

***

| no. | total magnetization (μB/cell) |
| --- | --- |
| 1 | 0.00 |
| 2 | 4.80 |
| 3 | 0.00 |
| 4 | 0.00 |
| 5 | 0.00 |
| 6 | 0.00 |
| 7 | 0.00 |
| 8 | 0.00 |